Run one
Material: LiSbPCl2
Method: DFT, PBE
State: relaxed

The structure belongs to space group P4/mmm (No. 123); the cell edges are 5.4236, 5.4236 and 5.2046 Å and the angles 90.00°, 90.00° and 90.00°. The distinct sites, in fractional coordinates, are Li at (0.0000, 0.0000, 0.0000), Sb at (0.5000, 0.5000, 0.5000), P at (0.5000, 0.5000, 0.0000) and Cl at (0.0000, 0.5000, 0.5000).

For the calculated density, the calculation gives 2.50 Mg/m³.

Run two
Material: LiSbPCl2
Method: DFT, PBE
State: relaxed

The structure belongs to space group P4/mmm (No. 123); the cell edges are 4.4291, 4.4291 and 5.3415 Å and the angles 90.00°, 90.00° and 90.00°. The distinct sites, in fractional coordinates, are Li at (0.0000, 0.0000, 0.0000), Sb at (0.5000, 0.5000, 0.5000), P at (0.0000, 0.0000, 0.5000) and Cl at (0.0000, 0.5000, 0.0000).

For the calculated density, the calculation gives 3.65 Mg/m³.

The structure with the least stability is run two.

Run one
Material: LiScP2Cl
Method: DFT, PBE
State: relaxed

The structure belongs to space group P4/mmm (No. 123); the cell edges are 4.2680, 4.2680 and 4.8806 Å and the angles 90.00°, 90.00° and 90.00°. The distinct sites, in fractional coordinates, are Li at (0.0000, 0.0000, 0.0000), Sc at (0.5000, 0.5000, 0.5000), P at (0.0000, 0.5000, 0.0000) and Cl at (0.0000, 0.0000, 0.5000).

For the calculated density, the calculation gives 2.79 Mg/m³.

Run two
Material: LiScP2Cl
Method: DFT, PBE
State: relaxed

The structure belongs to space group P4/mmm (No. 123); the cell edges are 5.0016, 5.0016 and 5.1163 Å and the angles 90.00°, 90.00° and 90.00°. The distinct sites, in fractional coordinates, are Li at (0.0000, 0.0000, 0.0000), Sc at (0.5000, 0.5000, 0.5000), P at (0.0000, 0.5000, 0.5000) and Cl at (0.5000, 0.5000, 0.0000).

For the calculated density, the calculation gives 1.94 Mg/m³.

The structure with the least stability is run one.

Run one
Material: LiPSeCl2
Method: DFT, PBE
State: relaxed

The structure belongs to space group P4/mmm (No. 123); the cell edges are 5.4248, 5.4248 and 4.7133 Å and the angles 90.00°, 90.00° and 90.00°. The distinct sites, in fractional coordinates, are Li at (0.0000, 0.0000, 0.0000), P at (0.5000, 0.5000, 0.0000), Se at (0.5000, 0.5000, 0.5000) and Cl at (0.0000, 0.5000, 0.5000).

For the calculated density, the calculation gives 2.25 Mg/m³.

Run two
Material: LiPSeCl2
Method: DFT, PBE
State: relaxed

The structure belongs to space group P4/mmm (No. 123); the cell edges are 4.1516, 4.1516 and 8.6011 Å and the angles 90.00°, 90.00° and 90.00°. The distinct sites, in fractional coordinates, are Li at (0.0000, 0.0000, 0.0000), P at (0.0000, 0.0000, 0.5000), Se at (0.5000, 0.5000, 0.5000) and Cl at (0.0000, 0.5000, 0.0000).

For the calculated density, the calculation gives 2.10 Mg/m³.

The structure with the least stability is run two.

Run one
Material: LiSnP2Cl
Method: DFT, PBE
State: relaxed

The structure belongs to space group P4/mmm (No. 123); the cell edges are 4.4690, 4.4690 and 5.0468 Å and the angles 90.00°, 90.00° and 90.00°. The distinct sites, in fractional coordinates, are Li at (0.0000, 0.0000, 0.0000), Sn at (0.5000, 0.5000, 0.5000), P at (0.0000, 0.5000, 0.0000) and Cl at (0.0000, 0.0000, 0.5000).

For the calculated density, the calculation gives 3.67 Mg/m³.

Run two
Material: LiSnP2Cl
Method: DFT, PBE
State: relaxed

The structure belongs to space group P4/mmm (No. 123); the cell edges are 5.0528, 5.0528 and 5.5825 Å and the angles 90.00°, 90.00° and 90.00°. The distinct sites, in fractional coordinates, are Li at (0.0000, 0.0000, 0.0000), Sn at (0.5000, 0.5000, 0.5000), P at (0.0000, 0.5000, 0.5000) and Cl at (0.5000, 0.5000, 0.0000).

For the calculated density, the calculation gives 2.60 Mg/m³.

The structure with the least stability is run two.

Run one
Material: SrLiPCl2
Method: DFT, PBE
State: relaxed

The structure belongs to space group P4/mmm (No. 123); the cell edges are 4.7670, 4.7670 and 5.1112 Å and the angles 90.00°, 90.00° and 90.00°. The distinct sites, in fractional coordinates, are Sr at (0.0000, 0.0000, 0.0000), Li at (0.5000, 0.5000, 0.5000), P at (0.5000, 0.5000, 0.0000) and Cl at (0.0000, 0.5000, 0.5000).

For the calculated density, the calculation gives 2.81 Mg/m³.

Run two
Material: SrLiPCl2
Method: DFT, PBE
State: relaxed

The structure belongs to space group P4/mmm (No. 123); the cell edges are 5.6421, 5.6421 and 6.0972 Å and the angles 90.00°, 90.00° and 90.00°. The distinct sites, in fractional coordinates, are Sr at (0.0000, 0.0000, 0.0000), Li at (0.5000, 0.5000, 0.5000), P at (0.0000, 0.0000, 0.5000) and Cl at (0.0000, 0.5000, 0.0000).

For the calculated density, the calculation gives 1.68 Mg/m³.

The structure with the least stability is run two.

Run one
Material: LiTiPCl2
Method: DFT, PBE
State: relaxed

The structure belongs to space group P4/mmm (No. 123); the cell edges are 4.8866, 4.8866 and 4.7813 Å and the angles 90.00°, 90.00° and 90.00°. The distinct sites, in fractional coordinates, are Li at (0.0000, 0.0000, 0.0000), Ti at (0.5000, 0.5000, 0.5000), P at (0.5000, 0.5000, 0.0000) and Cl at (0.0000, 0.5000, 0.5000).

For the calculated density, the calculation gives 2.28 Mg/m³.

Run two
Material: LiTiPCl2
Method: DFT, PBE
State: relaxed

The structure belongs to space group P4/mmm (No. 123); the cell edges are 4.2218, 4.2218 and 5.2438 Å and the angles 90.00°, 90.00° and 90.00°. The distinct sites, in fractional coordinates, are Li at (0.0000, 0.0000, 0.0000), Ti at (0.5000, 0.5000, 0.5000), P at (0.0000, 0.0000, 0.5000) and Cl at (0.0000, 0.5000, 0.0000).

For the calculated density, the calculation gives 2.78 Mg/m³.

The structure with the least stability is run two.